#1
LaMo2Rh | Alexandria via LeMat-Bulk | PBE | optimized geometry; volume = 77.3 Å³ per cell; symmetry = Imm2, No. 44; magnetization = 0.00 μB per atom; DOS(E_F) = 3.58 states/eV/f.u.
1.0
-1.647 2.565 4.572
1.647 -2.565 4.572
1.647 2.565 -4.572
La Mo Rh
1 2 1
direct
0.000 0.000 0.000 La
0.279 0.779 0.500 Mo
0.482 0.482 0.000 Mo
0.730 0.230 0.500 Rh

---

#2
LaMo2Rh | Alexandria via LeMat-Bulk | PBE | optimized geometry; volume = 76.9 Å³ per cell; symmetry = Pmmm, No. 47; magnetization = 0.00 μB per atom; DOS(E_F) = 5.05 states/eV/f.u.
1.0
3.504 0.000 0.000
0.000 4.240 0.000
0.000 0.000 5.178
La Mo Rh
1 2 1
direct
0.000 0.000 0.000 La
0.000 0.500 0.500 Mo
0.500 0.000 0.500 Mo
0.500 0.500 0.000 Rh

---

Result of the stability comparison: #2 is the most stable of them.

---

#1
LaMoRh | Alexandria via LeMat-Bulk | PBE | optimized geometry; volume = 69.1 Å³ per cell; symmetry = F-43m, No. 216; magnetization = 0.91 μB per atom; DOS(E_F) = 2.94 states/eV/f.u.
1.0
0.000 3.257 3.257
3.257 0.000 3.257
3.257 3.257 0.000
La Mo Rh
1 1 1
direct
0.000 0.000 0.000 La
0.250 0.250 0.250 Mo
0.750 0.750 0.750 Rh

---

#2
LaMoRh | Alexandria via LeMat-Bulk | PBE | optimized geometry; volume = 56.4 Å³ per cell; symmetry = P3m1, No. 156; magnetization = 0.00 μB per atom; DOS(E_F) = 3.89 states/eV/f.u.
1.0
4.719 0.000 0.000
-2.360 4.087 0.000
0.000 0.000 2.923
La Mo Rh
1 1 1
direct
0.000 0.000 0.000 La
0.667 0.333 0.186 Mo
0.333 0.667 0.640 Rh

---

#3
LaMoRh | Alexandria via LeMat-Bulk | PBE | optimized geometry; volume = 65.8 Å³ per cell; symmetry = F-43m, No. 216; magnetization = 0.00 μB per atom; DOS(E_F) = 4.07 states/eV/f.u.
1.0
0.000 3.205 3.205
3.205 0.000 3.205
3.205 3.205 0.000
La Mo Rh
1 1 1
direct
0.000 0.000 0.000 La
0.250 0.250 0.250 Mo
0.500 0.500 0.500 Rh

---

Result of the stability comparison: #2 is the most stable of them.

---

#1
LaMo2Ru | Alexandria via LeMat-Bulk | PBE | optimized geometry; volume = 74.4 Å³ per cell; symmetry = P4/mmm, No. 123; magnetization = 0.00 μB per atom; DOS(E_F) = 5.42 states/eV/f.u.
1.0
2.893 0.000 0.000
0.000 2.893 0.000
0.000 0.000 8.884
La Mo Ru
1 2 1
direct
0.000 0.000 0.000 La
0.500 0.500 0.300 Mo
0.500 0.500 0.700 Mo
0.000 0.000 0.500 Ru

---

#2
LaMo2Ru | Alexandria via LeMat-Bulk | PBE | optimized geometry; volume = 75.7 Å³ per cell; symmetry = Imm2, No. 44; magnetization = 0.00 μB per atom; DOS(E_F) = 4.78 states/eV/f.u.
1.0
-1.599 2.580 4.589
1.599 -2.580 4.589
1.599 2.580 -4.589
La Mo Ru
1 2 1
direct
0.000 0.000 0.000 La
0.277 0.777 0.500 Mo
0.494 0.494 0.000 Mo
0.730 0.230 0.500 Ru

---

Result of the stability comparison: #1 is the most stable of them.

---

#1
LaMo2Ru | Alexandria via LeMat-Bulk | PBE | optimized geometry; volume = 80.7 Å³ per cell; symmetry = C2/m, No. 12; magnetization = 0.00 μB per atom; DOS(E_F) = 3.11 states/eV/f.u.
1.0
5.197 -1.577 0.000
5.197 1.577 0.000
-1.126 0.000 4.924
La Mo Ru
1 2 1
direct
0.000 0.000 0.000 La
0.216 0.216 0.658 Mo
0.784 0.784 0.342 Mo
0.500 0.500 0.500 Ru

---

#2
LaMo2Ru | Alexandria via LeMat-Bulk | PBE | optimized geometry; volume = 74.2 Å³ per cell; symmetry = Cmmm, No. 65; magnetization = 0.00 μB per atom; DOS(E_F) = 6.11 states/eV/f.u.
1.0
2.611 -4.877 0.000
2.611 4.877 0.000
0.000 0.000 2.912
La Mo Ru
1 2 1
direct
0.000 0.000 0.000 La
0.000 0.500 0.500 Mo
0.500 0.000 0.500 Mo
0.500 0.500 0.000 Ru

---

#3
LaMo2Ru | Alexandria via LeMat-Bulk | PBE | optimized geometry; volume = 76.5 Å³ per cell; symmetry = P4mm, No. 99; magnetization = 0.00 μB per atom; DOS(E_F) = 5.98 states/eV/f.u.
1.0
3.202 0.000 0.000
0.000 3.202 0.000
0.000 0.000 7.459
La Mo Ru
1 2 1
direct
0.000 0.000 0.000 La
0.000 0.000 0.501 Mo
0.500 0.500 0.310 Mo
0.500 0.500 0.700 Ru

---

#4
LaMo2Ru | Alexandria via LeMat-Bulk | PBE | optimized geometry; volume = 72.7 Å³ per cell; symmetry = C2/m, No. 12; magnetization = 0.00 μB per atom; DOS(E_F) = 4.26 states/eV/f.u.
1.0
2.714 -4.828 0.000
2.714 4.828 0.000
-0.900 0.000 2.774
La Mo Ru
1 2 1
direct
0.000 0.000 0.000 La
0.000 0.500 0.500 Mo
0.500 0.000 0.500 Mo
0.500 0.500 0.000 Ru

---

Result of the stability comparison: #3 is the most stable of them.

---

#1
LaMo2Ru | Alexandria via LeMat-Bulk | PBE | optimized geometry; volume = 81.2 Å³ per cell; symmetry = Cm, No. 8; magnetization = 0.00 μB per atom; DOS(E_F) = 3.77 states/eV/f.u.
1.0
4.697 -1.580 0.000
4.697 1.580 0.000
-1.858 0.000 5.468
La Mo Ru
1 2 1
direct
0.000 0.000 0.000 La
0.509 0.509 0.513 Mo
0.790 0.790 0.341 Mo
0.239 0.239 0.677 Ru

---

#2
LaMo2Ru | Alexandria via LeMat-Bulk | PBE | optimized geometry; volume = 202.4 Å³ per cell; symmetry = I-42d, No. 122; magnetization = 0.00 μB per atom; DOS(E_F) = 5.00 states/eV/f.u.
1.0
-2.410 2.410 8.714
2.410 -2.410 8.714
2.410 2.410 -8.714
La Mo Ru
2 4 2
direct
0.000 0.000 0.000 La
0.750 0.250 0.500 La
0.352 0.125 0.727 Mo
0.375 0.648 0.773 Mo
0.398 0.625 0.273 Mo
0.875 0.602 0.227 Mo
0.250 0.750 0.500 Ru
0.500 0.500 0.000 Ru

---

#3
LaMo2Ru | Alexandria via LeMat-Bulk | PBE | optimized geometry; volume = 79.2 Å³ per cell; symmetry = Pmmm, No. 47; magnetization = 0.00 μB per atom; DOS(E_F) = 4.50 states/eV/f.u.
1.0
2.888 0.000 0.000
0.000 3.695 0.000
0.000 0.000 7.422
La Mo Ru
1 2 1
direct
0.000 0.000 0.000 La
0.500 0.500 0.325 Mo
0.500 0.500 0.675 Mo
0.000 0.000 0.500 Ru

---

#4
LaMo2Ru | Alexandria via LeMat-Bulk | PBE | optimized geometry; volume = 70.7 Å³ per cell; symmetry = Fm-3m, No. 225; magnetization = 0.00 μB per atom; DOS(E_F) = 2.46 states/eV/f.u.
1.0
0.000 3.282 3.282
3.282 0.000 3.282
3.282 3.282 0.000
La Mo Ru
1 2 1
direct
0.000 0.000 0.000 La
0.250 0.250 0.250 Mo
0.750 0.750 0.750 Mo
0.500 0.500 0.500 Ru

---

Result of the stability comparison: #1 is the most stable of them.

---

#1
LaMo2Ru | Alexandria via LeMat-Bulk | PBE | optimized geometry; volume = 74.7 Å³ per cell; symmetry = Immm, No. 71; magnetization = 0.00 μB per atom; DOS(E_F) = 3.91 states/eV/f.u.
1.0
-1.562 2.418 4.948
1.562 -2.418 4.948
1.562 2.418 -4.948
La Mo Ru
1 2 1
direct
0.000 0.000 0.000 La
0.267 0.767 0.500 Mo
0.733 0.233 0.500 Mo
0.500 0.500 0.000 Ru

---

#2
LaMo2Ru | Alexandria via LeMat-Bulk | PBE | optimized geometry; volume = 76.0 Å³ per cell; symmetry = P4/mmm, No. 123; magnetization = 0.00 μB per atom; DOS(E_F) = 4.60 states/eV/f.u.
1.0
3.821 0.000 0.000
0.000 3.821 0.000
0.000 0.000 5.204
La Mo Ru
1 2 1
direct
0.000 0.000 0.000 La
0.000 0.500 0.500 Mo
0.500 0.000 0.500 Mo
0.500 0.500 0.000 Ru

---

Result of the stability comparison: #1 is the most stable of them.

---

#1
LaMoRu3 | Alexandria via LeMat-Bulk | PBE | optimized geometry; volume = 105.5 Å³ per cell; symmetry = Pm-3m, No. 221; magnetization = 0.00 μB per atom; DOS(E_F) = 5.17 states/eV/f.u.
1.0
4.725 0.000 0.000
0.000 4.725 0.000
0.000 0.000 4.725
La Mo Ru
1 1 3
direct
0.000 0.000 0.000 La
0.500 0.500 0.500 Mo
0.000 0.500 0.500 Ru
0.500 0.000 0.500 Ru
0.500 0.500 0.000 Ru

---

#2
LaMoRu3 | Alexandria via LeMat-Bulk | PBE | optimized geometry; volume = 103.1 Å³ per cell; symmetry = Pm-3m, No. 221; magnetization = 0.00 μB per atom; DOS(E_F) = 12.90 states/eV/f.u.
1.0
4.689 0.000 0.000
0.000 4.689 0.000
0.000 0.000 4.689
La Mo Ru
1 1 3
direct
0.000 0.000 0.000 La
0.500 0.500 0.500 Mo
0.000 0.000 0.500 Ru
0.000 0.500 0.000 Ru
0.500 0.000 0.000 Ru

---

Result of the stability comparison: #1 is the most stable of them.

---

#1
LaMo3Ru | Alexandria via LeMat-Bulk | PBE | optimized geometry; volume = 111.3 Å³ per cell; symmetry = Pm-3m, No. 221; magnetization = 0.43 μB per atom; DOS(E_F) = 4.35 states/eV/f.u.
1.0
4.810 0.000 0.000
0.000 4.810 0.000
0.000 0.000 4.810
La Mo Ru
1 3 1
direct
0.000 0.000 0.000 La
0.000 0.500 0.500 Mo
0.500 0.000 0.500 Mo
0.500 0.500 0.000 Mo
0.500 0.500 0.500 Ru

---

#2
LaMo3Ru | Alexandria via LeMat-Bulk | PBE | optimized geometry; volume = 102.9 Å³ per cell; symmetry = Pm-3m, No. 221; magnetization = 0.00 μB per atom; DOS(E_F) = 5.04 states/eV/f.u.
1.0
4.686 0.000 0.000
0.000 4.686 0.000
0.000 0.000 4.686
La Mo Ru
1 3 1
direct
0.000 0.000 0.000 La
0.000 0.000 0.500 Mo
0.000 0.500 0.000 Mo
0.500 0.000 0.000 Mo
0.500 0.500 0.500 Ru

---

Result of the stability comparison: #1 is the most stable of them.

---

#1
LaMoS2 | Alexandria via LeMat-Bulk | PBE | optimized geometry; volume = 85.7 Å³ per cell; symmetry = R-3m, No. 166; magnetization = 0.19 μB per atom; DOS(E_F) = 4.36 states/eV/f.u.
1.0
1.661 0.959 8.969
-1.661 0.959 8.969
0.000 -1.917 8.969
La Mo S
1 1 2
direct
0.000 0.000 0.000 La
0.500 0.500 0.500 Mo
0.109 0.109 0.109 S
0.891 0.891 0.891 S

---

#2
LaMoS2 | Alexandria via LeMat-Bulk | PBE | optimized geometry; volume = 197.7 Å³ per cell; symmetry = I-42d, No. 122; magnetization = 0.00 μB per atom; DOS(E_F) = 2.41 states/eV/f.u.
1.0
-2.733 2.733 6.618
2.733 -2.733 6.618
2.733 2.733 -6.618
La Mo S
2 2 4
direct
0.000 0.000 0.000 La
0.750 0.250 0.500 La
0.250 0.750 0.500 Mo
0.500 0.500 0.000 Mo
0.211 0.625 0.086 S
0.375 0.461 0.586 S
0.539 0.125 0.914 S
0.875 0.789 0.414 S

---

Result of the stability comparison: #2 is the most stable of them.

---

#1
LaMoS2 | Alexandria via LeMat-Bulk | PBE | optimized geometry; volume = 74.6 Å³ per cell; symmetry = Fm-3m, No. 225; magnetization = 0.25 μB per atom; DOS(E_F) = 2.00 states/eV/f.u.
1.0
0.000 3.342 3.342
3.342 0.000 3.342
3.342 3.342 0.000
La Mo S
1 1 2
direct
0.000 0.000 0.000 La
0.500 0.500 0.500 Mo
0.250 0.250 0.250 S
0.750 0.750 0.750 S

---

#2
LaMoS2 | Alexandria via LeMat-Bulk | PBE | optimized geometry; volume = 126.0 Å³ per cell; symmetry = R-3m, No. 166; magnetization = 1.15 μB per atom; DOS(E_F) = 1.66 states/eV/f.u.
1.0
2.169 1.252 7.730
-2.169 1.252 7.730
0.000 -2.505 7.730
La Mo S
1 1 2
direct
0.000 0.000 0.000 La
0.500 0.500 0.500 Mo
0.395 0.395 0.395 S
0.605 0.605 0.605 S

---

Result of the stability comparison: #1 is the most stable of them.

---

#1
LaSbMo | Alexandria via LeMat-Bulk | PBE | optimized geometry; volume = 78.1 Å³ per cell; symmetry = P-6m2, No. 187; magnetization = 0.00 μB per atom; DOS(E_F) = 4.20 states/eV/f.u.
1.0
4.684 0.000 0.000
-2.342 4.057 0.000
0.000 0.000 4.108
La Sb Mo
1 1 1
direct
0.000 0.000 0.000 La
0.667 0.333 0.500 Sb
0.333 0.667 0.500 Mo

---

#2
LaSbMo | Alexandria via LeMat-Bulk | PBE | optimized geometry; volume = 98.0 Å³ per cell; symmetry = F-43m, No. 216; magnetization = 1.43 μB per atom; DOS(E_F) = 3.30 states/eV/f.u.
1.0
0.000 3.660 3.660
3.660 0.000 3.660
3.660 3.660 0.000
La Sb Mo
1 1 1
direct
0.000 0.000 0.000 La
0.250 0.250 0.250 Sb
0.750 0.750 0.750 Mo

---

#3
LaSbMo | Alexandria via LeMat-Bulk | PBE | optimized geometry; volume = 78.1 Å³ per cell; symmetry = P3m1, No. 156; magnetization = 0.00 μB per atom; DOS(E_F) = 2.72 states/eV/f.u.
1.0
3.740 0.000 0.000
-1.870 3.239 0.000
0.000 0.000 6.447
La Sb Mo
1 1 1
direct
0.000 0.000 0.000 La
0.333 0.667 0.601 Sb
0.667 0.333 0.350 Mo

---

Result of the stability comparison: #1 is the most stable of them.

---

#1
LaSbMo | Alexandria via LeMat-Bulk | PBE | optimized geometry; volume = 72.9 Å³ per cell; symmetry = I4mm, No. 107; magnetization = 0.00 μB per atom; DOS(E_F) = 3.21 states/eV/f.u.
1.0
-1.784 1.784 5.732
1.784 -1.784 5.732
1.784 1.784 -5.732
La Sb Mo
1 1 1
direct
0.000 0.000 0.000 La
0.289 0.289 0.000 Sb
0.685 0.685 0.000 Mo

---

#2
LaSbMo | Alexandria via LeMat-Bulk | PBE | optimized geometry; volume = 77.4 Å³ per cell; symmetry = F-43m, No. 216; magnetization = 0.00 μB per atom; DOS(E_F) = 3.12 states/eV/f.u.
1.0
0.000 3.382 3.382
3.382 0.000 3.382
3.382 3.382 0.000
La Sb Mo
1 1 1
direct
0.000 0.000 0.000 La
0.500 0.500 0.500 Sb
0.750 0.750 0.750 Mo

---

Result of the stability comparison: #1 is the most stable of them.